Record 1
A PBEsol-optimized structure of Sr2MnBiPbO6, computed with meta-GGA SCAN.

Computed properties:
Uncorrected formation energy = -2155 meV/atom
Density of states at the Fermi level = 0.08 states/eV per atom
Magnetization = 4.00 μB per formula unit

Structure (POSCAR):
```
Sr2MnBiPbO6
1.0
5.4396 0.0000 0.0000
0.0000 5.3418 0.0000
-2.6212 0.0000 11.6439
Sr Mn Bi Pb O
4 2 2 2 12
Cartesian
-0.0019 0.0000 1.7738
0.0947 2.6742 9.8687
2.7236 2.6742 1.7752
2.8203 0.0000 9.8701
0.0000 2.6716 0.0000
2.7198 5.3404 0.0000
0.1182 2.5121 4.4212
2.7002 2.5121 7.2227
0.1041 5.2402 7.2841
2.7142 5.2402 4.3599
-0.1264 2.7125 2.3171
1.3541 1.3360 0.0423
1.3600 3.9982 0.0455
0.5100 0.4134 4.2565
0.0157 0.0016 9.5278
0.6287 2.9761 7.3301
2.1896 2.9761 4.3139
2.8027 0.0016 2.1161
2.3084 0.4134 7.3874
1.4583 3.9982 11.5984
1.4642 1.3360 11.6017
2.9448 2.7125 9.3268
```

---

Record 2
A PBEsol-optimized structure of ScMn3Bi4O12, computed with meta-GGA SCAN.

Computed properties:
Uncorrected formation energy = -1849 meV/atom
Density of states at the Fermi level = 0.09 states/eV per atom
Magnetization = 12.00 μB per formula unit

Structure (POSCAR):
```
ScMn3Bi4O12
1.0
4.7748 -2.7776 0.0000
4.7748 2.7776 0.0000
-3.1172 0.0000 9.2146
Sc Mn Bi O
1 3 4 12
Cartesian
0.0000 0.0000 0.0000
0.0276 -0.1181 6.9039
3.2162 -0.2657 4.6073
6.4049 -0.1181 2.3106
0.1259 0.0341 3.4783
3.1213 -0.2485 1.2378
3.3112 -0.2485 7.9768
6.3066 0.0341 5.7363
-1.7887 0.2822 7.6270
0.5494 1.5693 7.9737
2.1838 0.9792 3.4126
5.8830 1.5693 1.2409
4.2486 0.9792 5.8020
1.8001 -0.4663 6.0845
0.4485 -1.2158 8.4058
2.0960 -1.7419 3.7739
4.6323 -0.4663 3.1300
8.2212 0.2822 1.5875
5.9840 -1.2158 0.8087
4.3365 -1.7419 5.4406
```

---

Record 3
A PBEsol-optimized structure of ScMnBi2O6, computed with meta-GGA SCAN.

Computed properties:
Uncorrected formation energy = -2061 meV/atom
Magnetization = 4.00 μB per formula unit

Structure (POSCAR):
```
ScMnBi2O6
1.0
4.7453 -2.8595 0.0000
4.7453 2.8595 0.0000
-2.9027 0.0000 9.3409
Sc Mn Bi O
2 2 4 12
Cartesian
2.5683 1.6533 7.0057
4.0197 -1.6533 2.3352
2.3727 1.4298 0.0000
0.9213 -1.4298 4.6705
2.3803 1.5412 3.5785
5.6590 1.5412 1.0920
0.9290 -1.5412 8.2490
4.2077 -1.5412 5.7624
1.1920 1.9112 8.5771
-0.9598 0.3788 7.8172
0.4915 -0.3788 3.1467
3.9447 1.9112 5.4342
1.5010 0.4667 5.7241
2.9523 -0.4667 1.0537
3.6357 0.4667 8.2872
5.0870 -0.4667 3.6168
2.6433 -1.9112 3.9067
6.0965 0.3788 6.1942
7.5478 -0.3788 1.5237
5.3960 -1.9112 0.7638
```

---

Record 4
A PBEsol-optimized structure of ScMnBi2Os, computed with meta-GGA SCAN.

Computed properties:
E_form = 40.04 kcal/mol of atoms
Density of states at the Fermi level = 0.72 states/eV per atom
Magnetization = 4.24 μB per formula unit

Structure (POSCAR):
```
ScMnBi2Os
1.0
5.3207 0.0000 0.0000
0.0000 5.3207 0.0000
0.0000 0.0000 4.2058
Sc Mn Bi Os
1 1 2 1
Cartesian
0.0000 0.0000 0.0000
0.0000 0.0000 2.1029
0.0000 2.6603 0.0000
2.6603 0.0000 0.0000
2.6603 2.6603 2.1029
```

---

Record 5
A PBEsol-optimized structure of MnReBiP2, computed with meta-GGA SCAN.

Computed properties:
E_form = 54.34 kcal/mol of atoms
Density of states at the Fermi level = 0.92 states/eV per atom
Magnetization = 7.77 μB per formula unit

Structure (POSCAR):
```
MnReBiP2
1.0
5.1322 0.0000 0.0000
0.0000 5.1322 0.0000
0.0000 0.0000 4.8713
Mn Re Bi P
1 1 1 2
Cartesian
0.0000 0.0000 0.0000
2.5661 2.5661 0.0000
0.0000 0.0000 2.4357
0.0000 2.5661 2.4357
2.5661 0.0000 2.4357
```

---

Record 6
A PBEsol-optimized structure of MnBiPS2, computed with meta-GGA SCAN.

Computed properties:
Uncorrected formation energy = 74 meV/atom
Density of states at the Fermi level = 0.54 states/eV per atom
Magnetization = 3.63 μB per formula unit

Structure (POSCAR):
```
MnBiPS2
1.0
4.5089 0.0000 0.0000
0.0000 4.5089 0.0000
0.0000 0.0000 4.6080
Mn Bi P S
1 1 1 2
Cartesian
0.0000 0.0000 0.0000
2.2545 2.2545 2.3040
0.0000 0.0000 2.3040
0.0000 2.2545 0.0000
2.2545 0.0000 0.0000
```

---

Record 7
A PBEsol-optimized structure of SrMnBiPb2, computed with meta-GGA SCAN.

Computed properties:
E_form = 6.20 kcal/mol of atoms
Density of states at the Fermi level = 0.67 states/eV per atom
Magnetization = 4.05 μB per formula unit

Structure (POSCAR):
```
SrMnBiPb2
1.0
6.0432 0.0000 0.0000
0.0000 6.0432 0.0000
0.0000 0.0000 4.9899
Sr Mn Bi Pb
1 1 1 2
Cartesian
0.0000 0.0000 0.0000
3.0216 3.0216 0.0000
3.0216 3.0216 2.4950
0.0000 3.0216 2.4950
3.0216 0.0000 2.4950
```

---

Record 8
A PBEsol-optimized structure of RbMnBi2, computed with meta-GGA SCAN.

Computed properties:
E_form = 7.14 kcal/mol of atoms
Magnetization = 0.00 μB per formula unit

Structure (POSCAR):
```
RbMnBi2
1.0
-3.5270 3.5270 6.6205
3.5270 -3.5270 6.6205
3.5270 3.5270 -6.6205
Rb Mn Bi
2 2 4
Cartesian
3.5270 1.7635 1.6551
0.0000 1.7635 4.9654
3.5270 -1.7635 4.9654
0.0000 5.2905 1.6551
0.0000 0.0000 0.0000
1.7635 1.7635 -3.3102
1.7635 -1.7635 3.3102
0.0000 3.5270 0.0000
```

---

Record 9
A PBEsol-optimized structure of Mn3ReBi, computed with meta-GGA SCAN.

Computed properties:
E_form = 19.66 kcal/mol of atoms
Density of states at the Fermi level = 1.17 states/eV per atom
Magnetization = 10.50 μB per formula unit

Structure (POSCAR):
```
Mn3ReBi
1.0
4.6004 0.0000 0.0000
0.0000 4.6004 0.0000
0.0000 0.0000 4.6004
Mn Re Bi
3 1 1
Cartesian
0.0000 0.0000 2.3002
0.0000 2.3002 0.0000
2.3002 0.0000 0.0000
0.0000 0.0000 0.0000
2.3002 2.3002 2.3002
```

---

Record 10
A PBEsol-optimized structure of MnBiRh3, computed with meta-GGA SCAN.

Computed properties:
E_form = 18.55 kcal/mol of atoms
Density of states at the Fermi level = 0.91 states/eV per atom
Magnetization = 0.00 μB per formula unit

Structure (POSCAR):
```
MnBiRh3
1.0
4.4409 0.0000 0.0000
0.0000 4.4409 0.0000
0.0000 0.0000 4.4409
Mn Bi Rh
1 1 3
Cartesian
0.0000 0.0000 0.0000
2.2205 2.2205 2.2205
0.0000 0.0000 2.2205
0.0000 2.2205 0.0000
2.2205 0.0000 0.0000
```

---

Record 11
A PBEsol-optimized structure of Mn3BiRh, computed with meta-GGA SCAN.

Computed properties:
E_form = 28.63 kcal/mol of atoms
Density of states at the Fermi level = 0.57 states/eV per atom
Magnetization = 13.36 μB per formula unit

Structure (POSCAR):
```
Mn3BiRh
1.0
4.9272 0.0000 0.0000
0.0000 4.9272 0.0000
0.0000 0.0000 4.9272
Mn Bi Rh
3 1 1
Cartesian
0.0000 0.0000 2.4636
0.0000 2.4636 0.0000
2.4636 0.0000 0.0000
0.0000 0.0000 0.0000
2.4636 2.4636 2.4636
```

---

Record 12
A PBEsol-optimized structure of MnBiS2, computed with meta-GGA SCAN.

Computed properties:
Uncorrected formation energy = -542 meV/atom
Density of states at the Fermi level = 0.48 states/eV per atom
Magnetization = 2.14 μB per formula unit

Structure (POSCAR):
```
MnBiS2
1.0
1.6749 0.9670 8.1279
-1.6749 0.9670 8.1279
0.0000 -1.9340 8.1279
Mn Bi S
1 1 2
Cartesian
0.0000 0.0000 0.0000
0.0000 0.0000 12.1918
0.0000 0.0000 9.3769
0.0000 0.0000 15.0067
```

---

Record 13
A PBEsol-optimized structure of MnBiS2, computed with meta-GGA SCAN.

Computed properties:
Uncorrected formation energy = -155 meV/atom
Density of states at the Fermi level = 0.37 states/eV per atom
Magnetization = 4.33 μB per formula unit

Structure (POSCAR):
```
MnBiS2
1.0
2.0866 1.2047 7.3174
-2.0866 1.2047 7.3174
0.0000 -2.4094 7.3174
Mn Bi S
1 1 2
Cartesian
0.0000 0.0000 0.0000
0.0000 0.0000 10.9761
0.0000 0.0000 2.2283
0.0000 0.0000 19.7238
```

---

Record 14
A PBEsol-optimized structure of MnBiS3, computed with meta-GGA SCAN.

Computed properties:
Uncorrected formation energy = 496 meV/atom
Density of states at the Fermi level = 0.64 states/eV per atom
Magnetization = 5.04 μB per formula unit

Structure (POSCAR):
```
MnBiS3
1.0
5.1020 0.0000 0.0000
0.0000 5.1020 0.0000
0.0000 0.0000 5.1020
Mn Bi S
1 1 3
Cartesian
0.0000 0.0000 0.0000
2.5510 2.5510 2.5510
0.0000 2.5510 2.5510
2.5510 0.0000 2.5510
2.5510 2.5510 0.0000
```

---

Record 15
A PBEsol-optimized structure of YMn2BiS, computed with meta-GGA SCAN.

Computed properties:
Uncorrected formation energy = 594 meV/atom
Density of states at the Fermi level = 0.75 states/eV per atom
Magnetization = 8.39 μB per formula unit

Structure (POSCAR):
```
YMn2BiS
1.0
5.2163 0.0000 0.0000
0.0000 5.2163 0.0000
0.0000 0.0000 4.8928
Y Mn Bi S
1 2 1 1
Cartesian
0.0000 0.0000 0.0000
0.0000 2.6081 0.0000
2.6081 0.0000 0.0000
2.6081 2.6081 2.4464
0.0000 0.0000 2.4464
```

---

Record 16
A PBEsol-optimized structure of MnBiSb2, computed with meta-GGA SCAN.

Computed properties:
Uncorrected formation energy = 68 meV/atom
Density of states at the Fermi level = 0.27 states/eV per atom
Magnetization = 4.07 μB per formula unit

Structure (POSCAR):
```
MnBiSb2
1.0
-3.1819 3.1819 6.5528
3.1819 -3.1819 6.5528
3.1819 3.1819 -6.5528
Mn Bi Sb
2 2 4
Cartesian
0.0000 0.0000 0.0000
0.0000 3.1819 3.2764
3.1819 0.0000 3.2764
0.0000 0.0000 6.5528
4.7729 1.2340 -1.6382
1.2340 1.5910 1.6382
-1.5910 1.9480 4.9146
1.9480 1.5910 8.1910
```

---

Record 17
A PBEsol-optimized structure of MnBi2Sb2, computed with meta-GGA SCAN.

Computed properties:
Uncorrected formation energy = 349 meV/atom
Density of states at the Fermi level = 0.67 states/eV per atom
Magnetization = 4.46 μB per formula unit

Structure (POSCAR):
```
MnBi2Sb2
1.0
-2.0160 2.0160 8.8950
2.0160 -2.0160 8.8950
2.0160 2.0160 -8.8950
Mn Bi Sb
1 2 2
Cartesian
0.0000 0.0000 0.0000
0.0000 0.0000 7.3730
0.0000 0.0000 10.4171
2.0160 0.0000 4.4475
0.0000 2.0160 4.4475
```

---

Record 18
A PBEsol-optimized structure of Mn3BiSb, computed with meta-GGA SCAN.

Computed properties:
Uncorrected formation energy = 765 meV/atom
Density of states at the Fermi level = 0.91 states/eV per atom
Magnetization = 13.81 μB per formula unit

Structure (POSCAR):
```
Mn3BiSb
1.0
5.0625 0.0000 0.0000
0.0000 5.0625 0.0000
0.0000 0.0000 5.0625
Mn Bi Sb
3 1 1
Cartesian
0.0000 0.0000 2.5313
0.0000 2.5313 0.0000
2.5313 0.0000 0.0000
0.0000 0.0000 0.0000
2.5313 2.5313 2.5313
```

---

Record 19
A PBEsol-optimized structure of MnBiSb2Te, computed with meta-GGA SCAN.

Computed properties:
Uncorrected formation energy = 1003 meV/atom
Density of states at the Fermi level = 0.84 states/eV per atom
Magnetization = 4.19 μB per formula unit

Structure (POSCAR):
```
MnBiSb2Te
1.0
5.7633 0.0000 0.0000
0.0000 5.7633 0.0000
0.0000 0.0000 5.7395
Mn Bi Sb Te
1 1 2 1
Cartesian
0.0000 0.0000 0.0000
2.8817 2.8817 2.8698
0.0000 2.8817 2.8698
2.8817 0.0000 2.8698
2.8817 2.8817 0.0000
```

---

Record 20
A PBEsol-optimized structure of MnBi2Se4, computed with meta-GGA SCAN.

Computed properties:
Uncorrected formation energy = -490 meV/atom
Magnetization = 5.00 μB per formula unit

Structure (POSCAR):
```
MnBi2Se4
1.0
6.5307 -2.0102 0.0000
6.5307 2.0102 0.0000
-6.4603 0.0000 13.5709
Mn Bi Se
2 4 8
Cartesian
0.0000 0.0000 0.0000
-3.2301 0.0000 6.7855
-2.8002 0.0000 11.8030
0.3843 0.0000 8.7251
6.2167 0.0000 4.8459
9.4013 0.0000 1.7680
-4.1675 0.0000 9.1414
0.9710 0.0000 2.4352
1.5535 0.0000 6.1891
4.9080 0.0000 0.7938
1.6931 0.0000 12.7772
5.0476 0.0000 7.3818
5.6300 0.0000 11.1357
10.7686 0.0000 4.4295
```